# PrTmGa4, optimized geometry, DFT PBE
data_PrTmGa4
_symmetry_space_group_name_H-M 'P 1'
_symmetry_Int_Tables_number 1
_cell_length_a 4.2399
_cell_length_b 4.2399
_cell_length_c 8.3870
_cell_angle_alpha 90.00
_cell_angle_beta 90.00
_cell_angle_gamma 120.00
loop_
_symmetry_equiv_pos_as_xyz
'x,y,z'
loop_
_atom_site_label
_atom_site_fract_x
_atom_site_fract_y
_atom_site_fract_z
_atom_site_occupancy
Ga1 0.6667 0.3333 0.7626 1
Ga2 0.6667 0.3333 0.2374 1
Ga3 0.3333 0.6667 0.7626 1
Ga4 0.3333 0.6667 0.2374 1
Tm1 0.0000 0.0000 0.0000 1
Pr1 0.0000 0.0000 0.5000 1
# * energy above the most stable polymorph in this dataset: 0 meV/atom
# * E_tot: -4.20 eV per atom
# * N(E_F): 0.49 states/eV/atom
# * calculated volume: 21.8 Å³/atom